Entry 1:
A plane-wave DFT calculation with PBE was carried out for a relaxed Ce2ErThSe5 crystal.

```
9
Lattice="5.076 0.000 0.000 0.000 5.076 0.000 0.000 0.000 10.924" Properties=species:S:1:pos:R:3 pbc="T T T"
Ce 2.538 2.538 3.344
Se 0.000 0.000 2.721
Se 0.000 2.538 5.462
Se 0.000 0.000 8.203
Th 0.000 0.000 0.000
Ce 2.538 2.538 7.580
Se 2.538 0.000 5.462
Er 0.000 0.000 5.462
Se 2.538 2.538 0.000
```

Properties
The calculated density is 6.337 Mg/m³. For the energy, the calculation gives -5.79 eV per atom. For the uncorrected formation energy, the calculation gives -1.207 eV per atom.

=====

Entry 2:
A plane-wave DFT calculation with PBE was carried out for a relaxed TiFe2Re2 crystal.

```
10
Lattice="-5.316 -2.971 -3.694 4.278 -5.398 -1.815 -0.771 -1.349 2.196" Properties=species:S:1:pos:R:3 pbc="T T T"
Re -0.418 -7.141 -2.887
Re -1.392 -2.578 -0.425
Fe -2.787 -2.520 -2.528
Re -3.384 -4.904 -2.555
Fe 1.748 -5.849 -2.981
Ti -0.519 -4.185 -2.754
Re 1.574 -4.815 -0.758
Ti 0.000 0.000 0.000
Fe 0.953 -2.399 -1.140
Fe -1.992 -5.970 -4.369
```

Properties
The calculated density is 12.944 Mg/m³. For the energy, the calculation gives -9.93 eV per atom. The value obtained for the excess energy over the best structure of this formula in the dataset is 0.0 kJ per mole of atoms. For the formation energy, the calculation gives 17 meV per atom.